TaTl2Ag | GGA-PBE | optimized geometry

Summary:
Energy above the lowest structure with this stoichiometry: 109 meV per atom

Unit cell a=4.0358 b=4.5567 c=4.5567 alpha=90.00 beta=90.00 gamma=90.00
Closest atoms and distances in Å follow each position.
Sites, in units of the cell vectors:
Tl 0.0000 0.0000 0.0000  4 Ta 3.04, 4 Ag 3.04, 4 Tl 3.22
Tl 0.0000 0.5000 0.5000  4 Ta 3.04, 4 Ag 3.04, 4 Tl 3.22
Ag 0.5000 0.5000 0.0000  8 Tl 3.04, 4 Ta 3.22
Ta 0.5000 0.0000 0.5000  8 Tl 3.04, 4 Ag 3.22